12
Lattice="3.8777 -6.7165 0.0000 3.8777 6.7165 0.0000 -2.5625 0.0000 7.2993" Properties=species:S:1:pos:R:3 comment="PBE-GGA Dy6Bi5I, relaxed" formation_energy_uncorrected_ev_per_atom=-0.85 space_group="No. 12" pbc="T T T"
Dy -0.0516 2.3479 5.3942
Dy 1.1728 0.0000 1.8460
Dy -0.0516 -2.3479 5.3942
Dy 5.2445 2.3479 1.9051
Dy 4.0201 0.0000 5.4533
Dy 5.2445 -2.3479 1.9051
Bi -1.2812 0.0000 3.6496
Bi 3.8777 4.4499 0.0000
Bi 2.5965 2.1388 3.6496
Bi 2.5965 -2.1388 3.6496
Bi 3.8777 -4.4499 0.0000
I 3.8777 0.0000 0.0000